Record 1
{"formula": "SmAl3Ni2", "functional": "PBE-GGA", "state": "optimized geometry", "mass_density_g_cm3": 5.89, "spacegroup": "No. 191", "total_magnetization_mub_per_fu": 0.000, "ef_ev_per_atom": -0.623, "cell": [[-0.488, -3.404, 2.033], [4.655, 0.806, 2.468], [-4.504, 1.909, 2.116]], "species": ["Ni", "Ni", "Al", "Al", "Al", "Sm"], "fractional_positions": [[0.000, 0.667, 0.333], [0.000, 0.333, 0.667], [0.500, 0.500, 0.500], [0.500, 0.500, 0.000], [0.500, 0.000, 0.500], [0.000, 0.000, 0.000]]}

Record 2
{"formula": "PuMnCu", "functional": "PBE-GGA", "state": "optimized geometry", "mass_density_g_cm3": 11.87, "spacegroup": "No. 12", "polymorph_energy_mev_per_atom": 161.3, "total_magnetization_mub_per_fu": 2.792, "ef_ev_per_atom": 0.119, "cell": [[-0.672, 3.744, -4.325], [-7.271, 1.300, 2.256], [4.806, 2.776, 1.656]], "species": ["Pu", "Pu", "Pu", "Pu", "Mn", "Mn", "Mn", "Mn", "Cu", "Cu", "Cu", "Cu"], "fractional_positions": [[0.500, 0.292, 0.729], [0.000, 0.708, 0.771], [0.500, 0.708, 0.271], [0.000, 0.292, 0.229], [0.250, 0.000, 0.750], [0.750, 0.000, 0.750], [0.750, 0.000, 0.250], [0.250, 0.000, 0.250], [0.500, 0.712, 0.765], [0.000, 0.288, 0.735], [0.500, 0.288, 0.235], [0.000, 0.712, 0.265]]}

Record 3
{"formula": "Cs4SbS", "functional": "PBE-GGA", "state": "optimized geometry", "mass_density_g_cm3": 3.32, "spacegroup": "No. 15", "raw_formation_energy_kj_per_mol_atoms": -55.5, "total_magnetization_mub_per_fu": 1.038, "cell": [[8.737, 0.020, 0.000], [-2.209, 9.563, 0.000], [-3.264, -4.791, 8.208]], "species": ["Cs", "Cs", "Cs", "Cs", "Cs", "Cs", "Cs", "Cs", "Sb", "Sb", "S", "S"], "fractional_positions": [[0.999, 0.225, 0.896], [0.795, 0.742, 0.685], [0.397, 0.671, 0.896], [0.390, 0.943, 0.685], [0.610, 0.057, 0.315], [0.603, 0.329, 0.104], [0.205, 0.258, 0.315], [0.001, 0.775, 0.104], [0.390, 0.640, 0.280], [0.610, 0.360, 0.720], [0.237, 0.987, 0.974], [0.763, 0.013, 0.026]]}

Q: What is the formula in the first record?
A: SmAl3Ni2

Copy entry 3 word for word.
{"formula": "Cs4SbS", "functional": "PBE-GGA", "state": "optimized geometry", "mass_density_g_cm3": 3.32, "spacegroup": "No. 15", "raw_formation_energy_kj_per_mol_atoms": -55.5, "total_magnetization_mub_per_fu": 1.038, "cell": [[8.737, 0.020, 0.000], [-2.209, 9.563, 0.000], [-3.264, -4.791, 8.208]], "species": ["Cs", "Cs", "Cs", "Cs", "Cs", "Cs", "Cs", "Cs", "Sb", "Sb", "S", "S"], "fractional_positions": [[0.999, 0.225, 0.896], [0.795, 0.742, 0.685], [0.397, 0.671, 0.896], [0.390, 0.943, 0.685], [0.610, 0.057, 0.315], [0.603, 0.329, 0.104], [0.205, 0.258, 0.315], [0.001, 0.775, 0.104], [0.390, 0.640, 0.280], [0.610, 0.360, 0.720], [0.237, 0.987, 0.974], [0.763, 0.013, 0.026]]}